{
  "formula": "NaNbAgTeS2",
  "functional": "GGA-PBE",
  "state": "optimized geometry",
  "lattice": [[-5.8504, -1.3505, -4.6402], [5.2967, -2.1561, 4.9878], [-6.6168, 1.8193, 7.8130]],
  "species": ["Ag", "S", "Te", "Na", "Na", "S", "Nb", "Te", "S", "Nb", "S", "Ag"],
  "fractional_positions": [[0.9617, 0.0383, 0.2500], [0.8821, 0.1179, 0.0457], [0.6071, 0.3929, 0.2500], [0.2890, 0.7110, 0.2500], [0.7110, 0.2890, 0.7500], [0.1179, 0.8821, 0.5457], [0.5000, 0.5000, 0.5000], [0.3929, 0.6071, 0.7500], [0.8821, 0.1179, 0.4543], [0.5000, 0.5000, 0.0000], [0.1179, 0.8821, 0.9543], [0.0383, 0.9617, 0.7500]],
  "m_tot_mub_per_cell": 1.0,
  "e_tot_ev_per_atom": -4.8280
}

{
  "formula": "MgAu",
  "functional": "GGA-PBE",
  "state": "optimized geometry",
  "lattice": [[5.2213, 0.0000, 0.0000], [0.0000, 5.6374, 0.0000], [0.0000, 0.0000, 4.9835]],
  "species": ["Au", "Mg", "Mg", "Au", "Au", "Mg", "Mg", "Au"],
  "fractional_positions": [[0.3527, 0.4601, 0.5000], [0.8520, 0.2869, 0.5000], [0.9813, 0.9631, 0.0000], [0.8527, 0.7899, 0.5000], [0.4806, 0.7899, 0.0000], [0.3520, 0.9631, 0.5000], [0.4813, 0.2869, 0.0000], [0.9806, 0.4601, 0.0000]],
  "e_tot_ev_per_atom": -2.8984
}

{
  "formula": "AgBr6",
  "functional": "GGA-PBE",
  "state": "optimized geometry",
  "lattice": [[-4.1593, -4.5519, -1.3068], [0.6064, -5.2170, 3.4846], [-4.4876, -0.8110, 4.3510]],
  "species": ["Br", "Br", "Ag", "Br", "Br", "Br", "Br"],
  "fractional_positions": [[0.8742, 0.2529, 0.5992], [0.1258, 0.7471, 0.4008], [0.0000, 0.0000, 0.0000], [0.2529, 0.5992, 0.8742], [0.4008, 0.1258, 0.7471], [0.7471, 0.4008, 0.1258], [0.5992, 0.8742, 0.2529]],
  "e_tot_ev_per_atom": -1.6067
}

{
  "formula": "W2S",
  "functional": "GGA-PBE",
  "state": "optimized geometry",
  "lattice": [[0.0000, 3.7499, 3.7499], [3.7499, 0.0000, 3.7499], [3.7499, 3.7499, 0.0000]],
  "species": ["W", "S", "W", "W", "W", "S"],
  "fractional_positions": [[0.1250, 0.6250, 0.6250], [0.2500, 0.2500, 0.2500], [0.6250, 0.6250, 0.1250], [0.6250, 0.6250, 0.6250], [0.6250, 0.1250, 0.6250], [0.0000, 0.0000, 0.0000]],
  "m_tot_mub_per_cell": 0.0,
  "e_tot_ev_per_atom": -8.7267
}

{
  "formula": "HoIrPt",
  "functional": "GGA-PBE",
  "state": "optimized geometry",
  "lattice": [[2.1613, -3.5023, -1.8221], [-2.1794, -3.8766, -0.6927], [-0.9774, -1.3142, -4.1923]],
  "species": ["Ir", "Pt", "Ho"],
  "fractional_positions": [[0.2500, 0.2500, 0.2500], [0.7500, 0.7500, 0.7500], [0.0000, 0.0000, 0.0000]],
  "delta_e_f_ev_per_atom": -0.082,
  "m_tot_mub_per_cell": 0.0,
  "e_tot_ev_per_atom": -6.5783
}

{
  "formula": "BaSnAu2S4",
  "functional": "GGA-PBE",
  "state": "optimized geometry",
  "lattice": [[-7.6084, -7.3125, 3.8194], [8.0400, -5.3128, 5.8445], [-1.1932, 3.9961, 5.2740]],
  "species": ["Au", "S", "Au", "Ba", "S", "S", "Sn", "Ba", "S", "S", "S", "Au", "S", "S", "S", "S", "Au", "Au", "S", "Ba", "S", "S", "Au", "Au", "Au", "S", "Sn", "Ba", "S", "S", "Sn", "Sn"],
  "fractional_positions": [[0.0952, 0.9056, 0.7410], [0.0078, 0.3243, 0.9625], [0.9048, 0.0944, 0.7410], [0.2509, 0.2219, 0.7507], [0.0046, 0.8232, 0.4577], [0.5046, 0.6768, 0.5423], [0.5000, 0.5000, 0.7572], [0.7509, 0.2781, 0.2493], [0.6786, 0.5143, 0.9695], [0.8214, 0.0143, 0.0305], [0.8211, 0.5114, 0.5360], [0.0976, 0.4081, 0.2455], [0.4922, 0.8243, 0.0375], [0.5078, 0.1757, 0.0375], [0.1789, 0.4886, 0.5360], [0.6789, 0.0114, 0.4640], [0.4024, 0.9081, 0.7545], [0.5976, 0.0919, 0.7545], [0.4954, 0.3232, 0.5423], [0.7491, 0.7781, 0.7507], [0.9922, 0.6757, 0.9625], [0.9954, 0.1768, 0.4577], [0.4048, 0.4056, 0.2590], [0.5952, 0.5944, 0.2590], [0.9024, 0.5919, 0.2455], [0.3211, 0.9886, 0.4640], [0.0000, 0.5000, 0.7467], [0.2491, 0.7219, 0.2493], [0.1786, 0.9857, 0.0305], [0.3214, 0.4857, 0.9695], [0.0000, 0.0000, 0.2428], [0.5000, 0.0000, 0.2533]],
  "e_tot_ev_per_atom": -4.3763
}

{
  "formula": "Fe2Sb",
  "functional": "GGA-PBE",
  "state": "optimized geometry",
  "lattice": [[-1.4150, 4.6898, 1.5704], [-4.8676, -1.6098, 0.4214], [0.7787, -1.2184, 4.3402]],
  "species": ["Fe", "Fe", "Sb", "Fe", "Fe", "Sb"],
  "fractional_positions": [[0.6571, 0.6571, 0.0000], [0.8429, 0.1571, 0.5000], [0.0000, 0.0000, 0.0000], [0.1571, 0.8429, 0.5000], [0.3429, 0.3429, 0.0000], [0.5000, 0.5000, 0.5000]],
  "m_tot_mub_per_cell": 10.5,
  "e_tot_ev_per_atom": -6.0977
}

{
  "formula": "Er3Al3NiAu2",
  "functional": "GGA-PBE",
  "state": "optimized geometry",
  "lattice": [[7.1050, 0.0000, 0.0000], [-3.5525, 6.1531, 0.0000], [0.0000, 0.0000, 4.0806]],
  "species": ["Al", "Au", "Er", "Er", "Al", "Ni", "Er", "Al", "Au"],
  "fractional_positions": [[0.7751, 0.7751, 0.5000], [0.3333, 0.6667, 0.5000], [0.5983, 0.0000, 0.0000], [0.4017, 0.4017, 0.0000], [0.2249, 0.0000, 0.5000], [0.0000, 0.0000, 0.0000], [0.0000, 0.5983, 0.0000], [0.0000, 0.2249, 0.5000], [0.6667, 0.3333, 0.5000]],
  "m_tot_mub_per_cell": 0.0,
  "e_tot_ev_per_atom": -4.8817
}

{
  "formula": "K2Sm2O3",
  "functional": "GGA-PBE",
  "state": "optimized geometry",
  "lattice": [[-4.4746, 4.4746, 4.4746], [4.4746, -4.4746, 4.4746], [4.4746, 4.4746, -4.4746]],
  "species": ["O", "Sm", "K", "O", "O", "K", "K", "Sm", "Sm", "Sm", "K", "O", "O", "O"],
  "fractional_positions": [[0.5251, 0.2751, 0.2500], [0.4759, 0.4759, 0.4759], [0.0000, 0.4776, 0.5000], [0.2500, 0.5251, 0.2751], [0.2249, 0.7500, 0.9749], [0.4776, 0.5000, 0.0000], [0.0224, 0.0224, 0.0224], [0.0000, 0.0241, 0.5000], [0.5000, 0.0000, 0.0241], [0.0241, 0.5000, 0.0000], [0.5000, 0.0000, 0.4776], [0.2751, 0.2500, 0.5251], [0.9749, 0.2249, 0.7500], [0.7500, 0.9749, 0.2249]],
  "m_tot_mub_per_cell": 0.0,
  "e_tot_ev_per_atom": -5.8481
}

{
  "formula": "InFeAgPt",
  "functional": "GGA-PBE",
  "state": "optimized geometry",
  "lattice": [[0.0000, 3.2176, 3.2176], [3.2176, 0.0000, 3.2176], [3.2176, 3.2176, 0.0000]],
  "species": ["Fe", "Ag", "Pt", "In"],
  "fractional_positions": [[0.7500, 0.7500, 0.7500], [0.2500, 0.2500, 0.2500], [0.5000, 0.5000, 0.5000], [0.0000, 0.0000, 0.0000]],
  "m_tot_mub_per_cell": 3.0,
  "e_tot_ev_per_atom": -4.9321
}

{
  "formula": "BaMg4AlAu2",
  "functional": "GGA-PBE",
  "state": "optimized geometry",
  "lattice": [[7.4458, 0.0000, 0.0000], [0.0000, 2.4170, 7.9858], [0.0000, -2.4170, 7.9858]],
  "species": ["Mg", "Au", "Mg", "Al", "Au", "Ba", "Mg", "Mg"],
  "fractional_positions": [[0.2737, 0.5851, 0.5851], [0.0000, 0.6985, 0.6985], [0.6855, 0.3724, 0.3724], [0.0000, 0.1454, 0.1454], [0.0000, 0.3029, 0.3029], [0.0000, 0.9382, 0.9382], [0.7263, 0.5851, 0.5851], [0.3145, 0.3724, 0.3724]],
  "e_tot_ev_per_atom": -2.1678
}

{
  "formula": "Be2Ni3",
  "functional": "GGA-PBE",
  "state": "optimized geometry",
  "lattice": [[4.1022, -0.8344, 2.3508], [-1.9244, 4.3985, 0.0165], [-0.5397, -2.8745, 4.8242]],
  "species": ["Be", "Ni", "Be", "Ni", "Be", "Ni", "Ni", "Be", "Ni", "Ni"],
  "fractional_positions": [[0.3153, 0.6847, 0.0541], [0.1658, 0.6658, 0.7500], [0.8153, 0.1847, 0.5541], [0.8342, 0.3342, 0.2500], [0.1847, 0.8153, 0.4459], [0.2500, 0.1658, 0.2500], [0.7500, 0.8342, 0.7500], [0.6847, 0.3153, 0.9459], [0.3342, 0.2500, 0.7500], [0.6658, 0.7500, 0.2500]],
  "m_tot_mub_per_cell": 0.0,
  "e_tot_ev_per_atom": -4.8210
}

{
  "formula": "GdHoNO",
  "functional": "GGA-PBE",
  "state": "optimized geometry",
  "lattice": [[4.2749, 0.0000, 0.0000], [0.0000, 4.2749, 0.0000], [0.0000, 0.0000, 7.7577]],
  "species": ["N", "Ho", "N", "O", "O", "Ho", "Gd", "Gd"],
  "fractional_positions": [[0.0000, 0.5000, 0.6321], [0.0000, 0.5000, 0.0987], [0.5000, 0.0000, 0.3679], [0.5000, 0.5000, 0.0000], [0.0000, 0.0000, 0.0000], [0.5000, 0.0000, 0.9013], [0.5000, 0.5000, 0.5000], [0.0000, 0.0000, 0.5000]],
  "m_tot_mub_per_cell": 1.4,
  "e_tot_ev_per_atom": -7.3347
}

{
  "formula": "LiCuPdW",
  "functional": "GGA-PBE",
  "state": "optimized geometry",
  "lattice": [[0.0000, 3.0353, 3.0353], [3.0353, 0.0000, 3.0353], [3.0353, 3.0353, 0.0000]],
  "species": ["Pd", "Li", "W", "Cu"],
  "fractional_positions": [[0.5000, 0.5000, 0.5000], [0.7500, 0.7500, 0.7500], [0.2500, 0.2500, 0.2500], [0.0000, 0.0000, 0.0000]],
  "m_tot_mub_per_cell": 0.0,
  "e_tot_ev_per_atom": -5.7089
}

{
  "formula": "Er2TmAl3Cu3",
  "functional": "GGA-PBE",
  "state": "optimized geometry",
  "lattice": [[3.9211, 0.0000, 0.0000], [0.0000, 6.0867, 3.5148], [0.0000, -6.0867, 3.5148]],
  "species": ["Er", "Al", "Cu", "Cu", "Er", "Tm", "Cu", "Al", "Al"],
  "fractional_positions": [[0.0000, 0.5857, 0.9999], [0.5000, 0.2390, 0.0004], [0.0000, 0.0007, 0.0007], [0.5000, 0.3338, 0.6659], [0.0000, 0.9999, 0.5857], [0.0000, 0.4138, 0.4138], [0.5000, 0.6659, 0.3338], [0.5000, 0.7610, 0.7610], [0.5000, 0.0004, 0.2390]],
  "m_tot_mub_per_cell": 0.0,
  "e_tot_ev_per_atom": -4.4643
}

{
  "formula": "HfFeCuAs",
  "functional": "GGA-PBE",
  "state": "optimized geometry",
  "lattice": [[0.0000, 3.0514, 3.0514], [3.0514, 0.0000, 3.0514], [3.0514, 3.0514, 0.0000]],
  "species": ["Cu", "Fe", "As", "Hf"],
  "fractional_positions": [[0.7500, 0.7500, 0.7500], [0.2500, 0.2500, 0.2500], [0.0000, 0.0000, 0.0000], [0.5000, 0.5000, 0.5000]],
  "m_tot_mub_per_cell": 0.0,
  "e_tot_ev_per_atom": -6.7339
}

{
  "formula": "DyTmHg6",
  "functional": "GGA-PBE",
  "state": "optimized geometry",
  "lattice": [[6.5807, 0.0000, 0.0000], [-3.2903, 5.6990, 0.0000], [0.0000, 0.0000, 4.9868]],
  "species": ["Hg", "Hg", "Dy", "Hg", "Hg", "Hg", "Tm", "Hg"],
  "fractional_positions": [[0.4994, 0.5006, 0.0000], [0.8332, 0.6664, 0.5000], [0.0000, 0.0000, 0.0000], [0.4994, 0.9989, 0.0000], [0.8332, 0.1668, 0.5000], [0.3336, 0.1668, 0.5000], [0.3333, 0.6667, 0.5000], [0.0011, 0.5006, 0.0000]],
  "delta_e_f_ev_per_atom": -0.327,
  "m_tot_mub_per_cell": 0.0,
  "e_tot_ev_per_atom": -1.6849
}

{
  "formula": "Co2Ni11",
  "functional": "GGA-PBE",
  "state": "optimized geometry",
  "lattice": [[6.5360, 0.7018, 5.2768], [8.3080, 0.9578, 1.0566], [6.3752, 4.6538, 2.9591]],
  "species": ["Ni", "Ni", "Ni", "Co", "Ni", "Ni", "Ni", "Ni", "Co", "Ni", "Ni", "Ni", "Ni"],
  "fractional_positions": [[0.9107, 0.9107, 0.4157], [0.0000, 0.0000, 0.0000], [0.4523, 0.4523, 0.4523], [0.6519, 0.6519, 0.6519], [0.0893, 0.5843, 0.0893], [0.8336, 0.8336, 0.8336], [0.5477, 0.5477, 0.5477], [0.0893, 0.0893, 0.5843], [0.3481, 0.3481, 0.3481], [0.5843, 0.0893, 0.0893], [0.1664, 0.1664, 0.1664], [0.9107, 0.4157, 0.9107], [0.4157, 0.9107, 0.9107]],
  "delta_e_f_ev_per_atom": 0.165,
  "m_tot_mub_per_cell": 10.0,
  "e_tot_ev_per_atom": -5.6395
}

{
  "formula": "NdFe2C2",
  "functional": "GGA-PBE",
  "state": "optimized geometry",
  "lattice": [[2.9484, -4.2851, 0.0000], [2.9484, 4.2851, 0.0000], [-2.9479, 0.0000, 4.6375]],
  "species": ["C", "Fe", "Fe", "C", "C", "Nd", "C", "Fe", "Nd", "Fe"],
  "fractional_positions": [[0.6953, 0.3047, 0.2500], [0.2569, 0.0068, 0.0137], [0.7431, 0.9932, 0.9863], [0.0546, 0.9454, 0.2500], [0.3047, 0.6953, 0.7500], [0.6250, 0.3750, 0.7500], [0.9454, 0.0546, 0.7500], [0.0069, 0.2569, 0.5137], [0.3750, 0.6250, 0.2500], [0.9932, 0.7431, 0.4863]],
  "m_tot_mub_per_cell": 0.0,
  "e_tot_ev_per_atom": -8.1585
}

{
  "formula": "CuSbMo4N2",
  "functional": "GGA-PBE",
  "state": "optimized geometry",
  "lattice": [[-2.5393, 0.1561, 2.0041], [0.7564, -2.8004, -1.4404], [7.2705, -2.8904, 9.4372]],
  "species": ["N", "Mo", "Sb", "Cu", "Mo", "Mo", "Mo", "N"],
  "fractional_positions": [[0.3333, 0.6667, 0.7630], [0.0000, 0.0000, 0.3201], [0.6667, 0.3333, 0.5000], [0.0000, 0.0000, 0.0000], [0.0000, 0.0000, 0.6799], [0.6667, 0.3333, 0.1547], [0.6667, 0.3333, 0.8453], [0.3333, 0.6667, 0.2370]],
  "m_tot_mub_per_cell": 0.0,
  "e_tot_ev_per_atom": -8.3677
}

{
  "formula": "PaSiAsO",
  "functional": "GGA-PBE",
  "state": "optimized geometry",
  "lattice": [[-3.2245, 0.4304, 2.0327], [1.4327, -2.2574, 2.7507], [3.9507, 8.0633, 4.5596]],
  "species": ["As", "Pa", "Si", "O", "Pa", "Si", "O", "As"],
  "fractional_positions": [[0.5000, 0.0000, 0.7211], [0.0000, 0.5000, 0.8613], [0.0000, 0.0000, 0.5000], [0.5000, 0.5000, 0.0000], [0.5000, 0.0000, 0.1387], [0.5000, 0.5000, 0.5000], [0.0000, 0.0000, 0.0000], [0.0000, 0.5000, 0.2789]],
  "m_tot_mub_per_cell": 1.8,
  "e_tot_ev_per_atom": -7.0013
}

{
  "formula": "TlIr3Cl",
  "functional": "GGA-PBE",
  "state": "optimized geometry",
  "lattice": [[-0.6573, -3.2706, 3.0460], [4.2824, -1.3421, -0.5169], [1.2792, 2.8123, 3.2957]],
  "species": ["Cl", "Ir", "Ir", "Tl", "Ir"],
  "fractional_positions": [[0.5000, 0.5000, 0.5000], [0.0000, 0.5000, 0.5000], [0.5000, 0.0000, 0.5000], [0.0000, 0.0000, 0.0000], [0.5000, 0.5000, 0.0000]],
  "m_tot_mub_per_cell": 0.0,
  "e_tot_ev_per_atom": -4.6460
}

{
  "formula": "Na4SiPt2Pb",
  "functional": "GGA-PBE",
  "state": "optimized geometry",
  "lattice": [[-1.1452, -0.4239, -4.4630], [4.4299, -0.8149, -1.0593], [-1.0495, -6.9078, 0.9254]],
  "species": ["Si", "Pt", "Na", "Na", "Na", "Pt", "Pb", "Na"],
  "fractional_positions": [[0.5000, 0.5000, 0.5000], [0.0000, 0.5000, 0.7097], [0.5000, 0.0000, 0.7292], [0.0000, 0.5000, 0.2708], [0.0000, 0.0000, 0.5000], [0.5000, 0.0000, 0.2903], [0.0000, 0.0000, 0.0000], [0.5000, 0.5000, 0.0000]],
  "m_tot_mub_per_cell": 0.0,
  "e_tot_ev_per_atom": -3.4474
}

{
  "formula": "OsBr2",
  "functional": "GGA-PBE",
  "state": "optimized geometry",
  "lattice": [[2.3080, -1.3751, 4.9843], [-1.5577, 2.7523, 4.6968], [-3.1095, -2.6387, 3.9281]],
  "species": ["Os", "Br", "Br", "Br", "Br", "Os"],
  "fractional_positions": [[0.0000, 0.0000, 0.0000], [0.1250, 0.6250, 0.6250], [0.6250, 0.1250, 0.6250], [0.6250, 0.6250, 0.6250], [0.6250, 0.6250, 0.1250], [0.2500, 0.2500, 0.2500]],
  "m_tot_mub_per_cell": 5.6,
  "e_tot_ev_per_atom": -2.3643
}